! BaSrPd | Alexandria | GGA-PBE | relaxed; values from VASP
&SYSTEM
  ibrav = 0, nat = 3, ntyp = 3
/
ATOMIC_SPECIES
Sr 87.62 Sr.upf
Pd 106.42 Pd.upf
Ba 137.33 Ba.upf
CELL_PARAMETERS angstrom
-2.252 3.189 0.277
-3.145 -2.142 -0.915
1.579 -1.936 7.471
ATOMIC_POSITIONS angstrom
Sr -0.645 -0.814 4.120
Pd -3.083 0.038 2.139
Ba -0.090 -0.113 0.574
! Crystal system   tetragonal
! Energy above the most stable polymorph in this dataset   49.3 meV/atom